Zr2BeSb: optimized geometry, PBE-GGA.

a = 4.299 Å, b = 4.299 Å, c = 4.200 Å
α = 90.00°, β = 90.00°, γ = 90.00°
Sites, in units of the cell vectors:
Zr 0.000 0.500 0.000
Zr 0.500 0.000 0.000
Be 0.000 0.000 0.500
Sb 0.500 0.500 0.500

Properties
formation energy from raw total energies = -208 meV per atom
symmetry = P4/mmm (123)
offset from the most stable computed form = 308 meV/atom


Tb2Dy12Tm5: optimized geometry, PBE-GGA.

a = 9.050 Å, b = 9.050 Å, c = 8.451 Å
α = 90.82°, β = 90.82°, γ = 60.56°
Sites, in units of the cell vectors:
Tb 0.178 0.822 0.000
Tb 0.822 0.178 0.000
Dy 0.059 0.059 0.334
Dy 0.067 0.680 0.340
Dy 0.163 0.526 0.758
Dy 0.320 0.933 0.660
Dy 0.407 0.407 0.116
Dy 0.474 0.837 0.242
Dy 0.526 0.163 0.758
Dy 0.593 0.593 0.884
Dy 0.680 0.067 0.340
Dy 0.837 0.474 0.242
Dy 0.933 0.320 0.660
Dy 0.941 0.941 0.666
Tm 0.198 0.198 0.011
Tm 0.268 0.268 0.426
Tm 0.500 0.500 0.500
Tm 0.732 0.732 0.574
Tm 0.802 0.802 0.989

Properties
symmetry = C2/m (12)
offset from the most stable computed form = 110 meV/atom
DFT formation energy = 130.2 meV per atom


NaCdBi: optimized geometry, PBE-GGA.

a = 5.308 Å, b = 5.308 Å, c = 3.522 Å
α = 90.00°, β = 90.00°, γ = 120.00°
Sites, in units of the cell vectors:
Na 0.000 0.000 0.000
Cd 0.667 0.333 0.500
Bi 0.333 0.667 0.500

Properties
symmetry = P-6m2 (187)
DFT formation energy = -180.4 meV per atom


Pr8Ho2Cd: optimized geometry, PBE-GGA.

a = 6.302 Å, b = 6.302 Å, c = 12.924 Å
α = 103.06°, β = 103.06°, γ = 48.18°
Sites, in units of the cell vectors:
Pr 0.037 0.037 0.322
Pr 0.141 0.141 0.953
Pr 0.243 0.243 0.587
Pr 0.409 0.409 0.859
Pr 0.591 0.591 0.141
Pr 0.757 0.757 0.413
Pr 0.859 0.859 0.047
Pr 0.963 0.963 0.678
Ho 0.316 0.316 0.238
Ho 0.684 0.684 0.762
Cd 0.500 0.500 0.500

Properties
symmetry = C2/m (12)
offset from the most stable computed form = 0 meV/atom
DFT formation energy = -16.2 meV per atom


Asked for DOS at the Fermi energy across the records above, the calculation gives 3.11 27.91 1.13 15.22 states/eV/f.u. in order.
Asked for electronic total energy across the records above, the calculation gives -25.8 -84.4 -6.7 -48.5 eV per cell in order.